Entry 1:
Pm2Ho2Mg3 | PBE-GGA | relaxed

abc: 3.7700 3.7699 14.3533
angles: 97.55 82.45 90.00
With the nearest neighbours (Å) after each atom.
Sites, in units of the cell vectors:
Mg  0.1416  0.8580  0.7167  4 Ho 3.28, 4 Pm 3.35
Mg  0.0000  0.0000  0.0000  8 Pm 3.31
Mg  0.8584  0.1420  0.2833  4 Ho 3.28, 4 Pm 3.35
Ho  0.7092  0.2906  0.5816  4 Mg 3.28, 4 Ho 3.52
Ho  0.2908  0.7094  0.4184  4 Mg 3.28, 4 Ho 3.52
Pm  0.4302  0.5698  0.1395  8 Mg 3.31-3.35
Pm  0.5698  0.4302  0.8605  8 Mg 3.31-3.35

Computed properties:
- final energy (eV per atom) = -3.418
- space-group type = I4/mmm, No. 139
- DOS(E_F) (states/eV/f.u.) = 8.8


Entry 2:
HfMg | PBE-GGA | relaxed

abc: 5.0188 5.0188 5.6195
angles: 90.00 90.00 120.00
With the nearest neighbours (Å) after each atom.
Sites, in units of the cell vectors:
Hf  0.3333  0.6667  0.7500  5 Mg 2.81-2.90
Hf  0.6667  0.3333  0.2500  5 Mg 2.81-2.90
Mg  0.3333  0.6667  0.2500  5 Hf 2.81-2.90
Mg  0.6667  0.3333  0.7500  5 Hf 2.81-2.90

Computed properties:
- final energy (eV per atom) = -4.170
- space-group type = P6_3/mmc, No. 194
- DOS(E_F) (states/eV/f.u.) = 3.2